1.
The following is a GGA-PBE calculation of a relaxed Ac15TbY4 crystal, from the Alexandria database.

Structure (POSCAR):
```
Ac15TbY4
1.0
5.506 0.000 0.000
0.000 5.506 0.000
0.000 0.000 27.378
Ac Tb Y
15 1 4
Cartesian
0.000 0.000 0.000
0.000 0.000 5.475
0.000 0.000 10.953
0.000 0.000 16.425
0.000 0.000 21.903
0.000 2.753 2.736
0.000 2.753 8.216
0.000 2.753 13.689
0.000 2.753 19.162
0.000 2.753 24.643
2.753 0.000 2.736
2.753 0.000 8.216
2.753 0.000 13.689
2.753 0.000 19.162
2.753 0.000 24.643
2.753 2.753 0.000
2.753 2.753 5.480
2.753 2.753 10.953
2.753 2.753 16.425
2.753 2.753 21.898
```

Summary:
The calculation puts the magnetization at 0.000 μB per formula unit. The calculation puts the total energy at -91.6 eV for the cell shown. The calculation puts the formation energy from the elements at 0.54 eV/f.u.

2.
The following is a GGA-PBE calculation of a relaxed Ac3Tb4Y2 crystal, from the Alexandria database.

Structure (POSCAR):
```
Ac3Tb4Y2
1.0
6.443 0.000 0.000
3.205 5.614 0.000
2.180 0.007 8.985
Ac Tb Y
3 4 2
Cartesian
0.000 0.000 0.000
5.446 5.604 3.022
6.383 0.018 5.963
3.220 1.918 0.002
6.451 3.699 6.008
5.378 1.923 2.977
8.609 3.703 8.983
3.238 1.940 6.007
8.590 3.682 2.978
```

Summary:
The calculation puts the magnetization at 0.000 μB per formula unit. The calculation puts the total energy at -43.4 eV for the cell shown. The calculation puts the formation energy from the elements at 0.38 eV/f.u.

3.
The following is a GGA-PBE calculation of a relaxed AcTb2Y crystal, from the Alexandria database.

Structure (POSCAR):
```
AcTb2Y
1.0
4.128 0.000 0.000
0.000 4.128 0.000
0.000 0.000 8.396
Ac Tb Y
1 2 1
Cartesian
0.000 0.000 0.000
2.064 2.064 2.342
2.064 2.064 6.053
0.000 0.000 4.198
```

Summary:
The calculation puts the magnetization at 0.000 μB per formula unit. The calculation puts the total energy at -19.4 eV for the cell shown. The calculation puts the formation energy from the elements at 0.46 eV/f.u. The value obtained for the energy above the most stable polymorph in this dataset is 63 meV per atom.

4.
The following is a GGA-PBE calculation of a relaxed AcTb7Y4 crystal, from the Alexandria database.

Structure (POSCAR):
```
AcTb7Y4
1.0
6.284 0.000 0.000
-0.001 7.266 0.000
-2.120 -0.012 8.698
Ac Tb Y
1 7 4
Cartesian
0.000 0.000 0.000
0.000 3.633 0.000
0.000 -0.008 5.760
1.041 5.425 2.926
1.027 1.835 8.690
3.137 5.418 0.008
3.123 1.828 5.772
4.164 7.261 2.938
-0.025 3.624 5.788
1.053 1.835 2.929
3.111 5.419 5.769
4.188 3.629 2.910
```

Summary:
The calculation puts the magnetization at 0.000 μB per formula unit. The calculation puts the total energy at -62.3 eV for the cell shown. The calculation puts the formation energy from the elements at 0.12 eV/f.u. The value obtained for the energy above the most stable polymorph in this dataset is 0 meV per atom.

Please write out number 4 again, unchanged.
The following is a GGA-PBE calculation of a relaxed AcTb7Y4 crystal, from the Alexandria database.

Structure (POSCAR):
```
AcTb7Y4
1.0
6.284 0.000 0.000
-0.001 7.266 0.000
-2.120 -0.012 8.698
Ac Tb Y
1 7 4
Cartesian
0.000 0.000 0.000
0.000 3.633 0.000
0.000 -0.008 5.760
1.041 5.425 2.926
1.027 1.835 8.690
3.137 5.418 0.008
3.123 1.828 5.772
4.164 7.261 2.938
-0.025 3.624 5.788
1.053 1.835 2.929
3.111 5.419 5.769
4.188 3.629 2.910
```

Summary:
The calculation puts the magnetization at 0.000 μB per formula unit. The calculation puts the total energy at -62.3 eV for the cell shown. The calculation puts the formation energy from the elements at 0.12 eV/f.u. The value obtained for the energy above the most stable polymorph in this dataset is 0 meV per atom.

Please write out number 2 again, unchanged.
The following is a GGA-PBE calculation of a relaxed Ac3Tb4Y2 crystal, from the Alexandria database.

Structure (POSCAR):
```
Ac3Tb4Y2
1.0
6.443 0.000 0.000
3.205 5.614 0.000
2.180 0.007 8.985
Ac Tb Y
3 4 2
Cartesian
0.000 0.000 0.000
5.446 5.604 3.022
6.383 0.018 5.963
3.220 1.918 0.002
6.451 3.699 6.008
5.378 1.923 2.977
8.609 3.703 8.983
3.238 1.940 6.007
8.590 3.682 2.978
```

Summary:
The calculation puts the magnetization at 0.000 μB per formula unit. The calculation puts the total energy at -43.4 eV for the cell shown. The calculation puts the formation energy from the elements at 0.38 eV/f.u.

Number 2 is which compound?
Ac3Tb4Y2